# 1
## PrGa2Ag5 (PBE-GGA)

Data for PrGa2Ag5 after structural relaxation.

Summary:
The calculated total energy is -3.3185 eV/atom. The formation enthalpy at 0 K is -182 meV/atom. As for the symmetry: Immm (71). For the calculated density, the calculation gives 8.392 Mg/m³. The value obtained for the total magnetic moment is 0.000 μB/cell.

a b c (Å): 4.1822 6.6729 6.6729
angles (deg): 70.61 71.74 71.74
With the nearest neighbours (Å) after each atom.
Element x y z (fractional)
1 Pr 0.0000 0.0000 0.0000  4 Ga 3.17, 8 Ag 3.52
2 Ga 0.7374 0.7626 0.7626  7 Ag 2.59-2.80
3 Ga 0.2626 0.2374 0.2374  7 Ag 2.59-2.80
4 Ag 0.0000 0.5000 0.5000  2 Ga 2.64, 8 Ag 2.93
5 Ag 0.6457 0.5409 0.1677  3 Ga 2.59-2.80, 1 Ag 2.88
6 Ag 0.3543 0.4591 0.8323  3 Ga 2.59-2.80, 1 Ag 2.88
7 Ag 0.3543 0.8323 0.4591  3 Ga 2.59-2.80, 1 Ag 2.88
8 Ag 0.6457 0.1677 0.5409  3 Ga 2.59-2.80, 1 Ag 2.88

---

# 2
## Pr2Ga4AgPt3 (PBE-GGA)

Data for Pr2Ga4AgPt3 after structural relaxation.

Summary:
The calculated total energy is -5.1013 eV/atom. The formation enthalpy at 0 K is -837 meV/atom. As for the symmetry: P-4m2 (115). For the calculated density, the calculation gives 10.440 Mg/m³. The value obtained for the total magnetic moment is 0.000 μB/cell.

a b c (Å): 4.3395 4.3395 10.5901
angles (deg): 90.00 90.00 90.00
With the nearest neighbours (Å) after each atom.
Element x y z (fractional)
1 Pr 0.5000 0.0000 0.2400  6 Pt 3.28-3.51, 8 Ga 3.34, 2 Ag 3.51
2 Pr 0.0000 0.5000 0.7600  6 Pt 3.28-3.51, 8 Ga 3.34, 2 Ag 3.51
3 Ga 0.5000 0.5000 0.0000  4 Pt 2.57
4 Ga 0.0000 0.0000 0.0000  4 Pt 2.57
5 Ga 0.5000 0.0000 0.6351  3 Pt 2.49-2.60, 2 Ag 2.60
6 Ga 0.0000 0.5000 0.3649  3 Pt 2.49-2.60, 2 Ag 2.60
7 Ag 0.5000 0.5000 0.5000  4 Ga 2.60
8 Pt 0.0000 0.0000 0.5000  4 Ga 2.60
9 Pt 0.5000 0.0000 0.8705  5 Ga 2.49-2.57
10 Pt 0.0000 0.5000 0.1295  5 Ga 2.49-2.57

---

# 3
## Pr2Ga3AgPt4 (PBE-GGA)

Data for Pr2Ga3AgPt4 after structural relaxation.

Summary:
The calculated total energy is -5.4112 eV/atom. The formation enthalpy at 0 K is -846 meV/atom. As for the symmetry: P-4m2 (115). For the calculated density, the calculation gives 11.533 Mg/m³. The value obtained for the total magnetic moment is 0.000 μB/cell.

a b c (Å): 4.1303 4.1303 11.6406
angles (deg): 90.00 90.00 90.00
With the nearest neighbours (Å) after each atom.
Element x y z (fractional)
1 Pr 0.5000 0.0000 0.2501  4 Pt 3.11, 4 Ga 3.25
2 Pr 0.0000 0.5000 0.7499  4 Pt 3.11, 4 Ga 3.25
3 Ga 0.0000 0.0000 0.5000  4 Pt 2.76, 4 Ag 2.92
4 Ga 0.5000 0.0000 0.8727  5 Pt 2.50-2.54
5 Ga 0.0000 0.5000 0.1273  5 Pt 2.50-2.54
6 Ag 0.5000 0.5000 0.5000  4 Pt 2.76, 4 Ga 2.92
7 Pt 0.5000 0.5000 0.0000  4 Ga 2.54
8 Pt 0.0000 0.0000 0.0000  4 Ga 2.54
9 Pt 0.5000 0.0000 0.6578  3 Ga 2.50-2.76, 2 Ag 2.76
10 Pt 0.0000 0.5000 0.3422  3 Ga 2.50-2.76, 2 Ag 2.76

---

# 4
## PrGa4AgPt2 (PBE-GGA)

Data for PrGa4AgPt2 after structural relaxation.

Summary:
The calculated total energy is -4.5372 eV/atom. The formation enthalpy at 0 K is -560 meV/atom. As for the symmetry: R-3m (166). For the calculated density, the calculation gives 10.236 Mg/m³. The value obtained for the total magnetic moment is 0.000 μB/cell.

a b c (Å): 4.3237 4.3237 9.5293
angles (deg): 76.89 76.89 60.00
With the nearest neighbours (Å) after each atom.
Element x y z (fractional)
1 Pr 0.0000 0.0000 0.0000  8 Ga 3.07-3.43
2 Ga 0.3982 0.3982 0.8054  3 Pt 2.61, 1 Ag 2.81
3 Ga 0.8758 0.8758 0.3726  3 Pt 2.65, 3 Ag 2.76
4 Ga 0.1242 0.1242 0.6274  3 Pt 2.65, 3 Ag 2.76
5 Ga 0.6018 0.6018 0.1946  3 Pt 2.61, 1 Ag 2.81
6 Ag 0.5000 0.5000 0.5000  8 Ga 2.76-2.81
7 Pt 0.7587 0.7587 0.7239  6 Ga 2.61-2.65
8 Pt 0.2413 0.2413 0.2761  6 Ga 2.61-2.65

---

# 5
## PrGa2AgPt5 (PBE-GGA)

Data for PrGa2AgPt5 after structural relaxation.

Summary:
The calculated total energy is -5.4178 eV/atom. The formation enthalpy at 0 K is -541 meV/atom. As for the symmetry: P4/mmm (123). For the calculated density, the calculation gives 13.680 Mg/m³. The value obtained for the total magnetic moment is 0.000 μB/cell.

a b c (Å): 4.1376 4.1376 9.6685
angles (deg): 90.00 90.00 90.00
With the nearest neighbours (Å) after each atom.
Element x y z (fractional)
1 Pr 0.0000 0.0000 0.5000  12 Pt 2.93-3.04
2 Ga 0.5000 0.5000 0.1257  1 Ga 2.43, 4 Pt 2.50
3 Ga 0.5000 0.5000 0.8743  1 Ga 2.43, 4 Pt 2.50
4 Ag 0.0000 0.0000 0.0000  8 Ga 3.17, 8 Pt 3.33
5 Pt 0.0000 0.5000 0.2700  2 Ga 2.50
6 Pt 0.5000 0.0000 0.2700  2 Ga 2.50
7 Pt 0.0000 0.5000 0.7300  2 Ga 2.50
8 Pt 0.5000 0.0000 0.7300  2 Ga 2.50
9 Pt 0.5000 0.5000 0.5000  4 Pr 2.93, 8 Pt 3.04

---

# 6
## PrPuGaAg (PBE-GGA)

Data for PrPuGaAg after structural relaxation.

Summary:
The calculated total energy is -6.4389 eV/atom. The formation enthalpy at 0 K is -192 meV/atom. As for the symmetry: F-43m (216). For the calculated density, the calculation gives 9.189 Mg/m³. The value obtained for the total magnetic moment is 6.030 μB/cell.

a b c (Å): 5.2385 5.2385 5.2385
angles (deg): 60.00 60.00 60.00
With the nearest neighbours (Å) after each atom.
Element x y z (fractional)
1 Pr 0.7500 0.7500 0.7500  4 Ga 3.21, 4 Ag 3.21
2 Ga 0.0000 0.0000 0.0000  4 Pr 3.21, 4 Pu 3.21
3 Ag 0.5000 0.5000 0.5000  4 Pu 3.21, 4 Pr 3.21
4 Pu 0.2500 0.2500 0.2500  4 Ga 3.21, 4 Ag 3.21

---

# 7
## PrGaAg2S4 (PBE-GGA)

Data for PrGaAg2S4 after structural relaxation.

Summary:
The calculated total energy is -4.4626 eV/atom. As for the formation energy (no corrections): -5.68 eV per formula unit. As for the symmetry: C2/c (15). For the calculated density, the calculation gives 5.336 Mg/m³. The value obtained for the total magnetic moment is 0.000 μB/cell.

a b c (Å): 8.0337 8.0337 8.0612
angles (deg): 122.27 122.27 88.92
With the nearest neighbours (Å) after each atom.
Element x y z (fractional)
1 Pr 0.0000 0.5000 0.0000  6 S 2.80-2.90
2 Pr 0.0000 0.5000 0.5000  6 S 2.80-2.90
3 Ga 0.5000 0.5000 0.5000  4 S 2.46-2.48
4 Ga 0.0000 0.0000 0.0000  4 S 2.46-2.48
5 Ag 0.5000 0.0000 0.0000  6 S 2.60-2.90
6 Ag 0.5000 0.0000 0.5000  6 S 2.60-2.90
7 Ag 0.0000 0.0000 0.5000  2 S 2.54
8 Ag 0.5000 0.5000 0.0000  2 S 2.54
9 S 0.2280 0.7882 0.0180  1 Ga 2.48, 1 Ag 2.60
10 S 0.7118 0.2720 0.4820  1 Ga 2.48, 1 Ag 2.60
11 S 0.2882 0.7280 0.5180  1 Ga 2.48, 1 Ag 2.60
12 S 0.7720 0.2118 0.9820  1 Ga 2.48, 1 Ag 2.60
13 S 0.8013 0.8096 0.0365  1 Ga 2.46, 1 Ag 2.54
14 S 0.6904 0.6987 0.4635  1 Ga 2.46, 1 Ag 2.54
15 S 0.3096 0.3013 0.5365  1 Ga 2.46, 1 Ag 2.54
16 S 0.1987 0.1904 0.9635  1 Ga 2.46, 1 Ag 2.54

---

# 8
## SrPrGaAg (PBE-GGA)

Data for SrPrGaAg after structural relaxation.

Summary:
The calculated total energy is -3.4198 eV/atom. The formation enthalpy at 0 K is -335 meV/atom. As for the symmetry: F-43m (216). For the calculated density, the calculation gives 6.048 Mg/m³. The value obtained for the total magnetic moment is 0.000 μB/cell.

a b c (Å): 5.4026 5.4026 5.4026
angles (deg): 60.00 60.00 60.00
With the nearest neighbours (Å) after each atom.
Element x y z (fractional)
1 Pr 0.5000 0.5000 0.5000  4 Ga 3.31, 4 Ag 3.31
2 Sr 0.0000 0.0000 0.0000  4 Ag 3.31, 4 Ga 3.31
3 Ga 0.7500 0.7500 0.7500  4 Sr 3.31, 4 Pr 3.31
4 Ag 0.2500 0.2500 0.2500  4 Pr 3.31, 4 Sr 3.31

---

Computed values of D(E_F) (unit: states/eV per cell) for the preceding records, in sequence: 3.199, 7.490, 3.786, 2.991, 3.132, 10.599, 1.129, 3.414.